Run a
## CsP2PtS (PBE)

Data for a relaxed structure of CsP2PtS.

Cell and atoms, written as POSCAR:
```
CsP2PtS
1.0
5.5316 0.0000 0.0000
0.0000 5.5316 0.0000
0.0000 0.0000 5.1555
Cs P Pt S
1 2 1 1
Direct
0.0000 0.0000 0.0000 Cs
0.0000 0.5000 0.0000 P
0.5000 0.0000 0.0000 P
0.5000 0.5000 0.5000 Pt
0.0000 0.0000 0.5000 S
```

Results
The theoretical density comes out at 4.4 Mg/m³. The magnetic moment comes out at 0.54 μB per formula unit. Its density of states at the Fermi level is 6.9 states/eV/cell. Its space group is No. 123.

Run b
## CsP2PtS (PBE)

Data for a relaxed structure of CsP2PtS.

Cell and atoms, written as POSCAR:
```
CsP2PtS
1.0
4.7287 0.0000 0.0000
0.0000 4.7287 0.0000
0.0000 0.0000 5.5335
Cs P Pt S
1 2 1 1
Direct
0.0000 0.0000 0.0000 Cs
0.0000 0.5000 0.5000 P
0.5000 0.0000 0.5000 P
0.5000 0.5000 0.5000 Pt
0.5000 0.5000 0.0000 S
```

Results
The theoretical density comes out at 5.7 Mg/m³. The magnetic moment comes out at 0.00 μB per formula unit. Its density of states at the Fermi level is 2.8 states/eV/cell. Its space group is No. 123.

Energy relative to the most stable one, in meV per atom: run a 2163; run b 0